## PaO (PBE-GGA)

Data for crystalline PaO at its relaxed geometry.

Unit cell a=3.499 b=3.499 c=3.499 alpha=60.00 beta=60.00 gamma=60.00
Fractional coordinates of all 2 atoms:
O  0.000  0.000  0.000
Pa  0.500  0.500  0.500

## Properties
The calculation puts the total energy at -16.87 eV per cell. The polymorph energy (0 for the lowest one) comes out at 0.801 eV per atom.